Entry 1:
Here is a relaxed AcNdAg crystal from Alexandria via LeMat-Bulk. Energies are from PBE-GGA.

Geometry as POSCAR:
```
AcNdAg
1.0
5.3534 0.0000 0.0000
2.6767 4.6361 0.0000
2.6767 1.5454 4.3710
Ac Nd Ag
1 1 1
direct
0.5000 0.5000 0.5000 Ac
0.0000 0.0000 0.0000 Nd
0.2500 0.2500 0.2500 Ag
```

- Polymorph energy (0 for the lowest one): 219 meV per atom
- Total magnetization: 0.99 μB/f.u.
- Fermi-level density of states: 5.47 states/eV/f.u.
- Energy of formation: 0.08 eV per atom
- Calculated volume: 36.16 Å³ per atom
- E_tot: -11.5 eV per formula unit

Entry 2:
Here is a relaxed Ac2NdAg crystal from Alexandria via LeMat-Bulk. Energies are from PBE-GGA.

Geometry as POSCAR:
```
Ac2NdAg
1.0
3.8178 0.0000 0.0000
1.9089 3.3063 0.0000
1.9089 1.1021 12.3501
Ac Nd Ag
2 1 1
direct
0.0844 0.0844 0.7468 Ac
0.9156 0.9156 0.2532 Ac
0.5000 0.5000 0.5000 Nd
0.0000 0.0000 0.0000 Ag
```

- Polymorph energy (0 for the lowest one): 402 meV per atom
- Total magnetization: 0.00 μB/f.u.
- Fermi-level density of states: 4.34 states/eV/f.u.
- Energy of formation: 0.30 eV per atom
- Calculated volume: 38.97 Å³ per atom
- E_tot: -14.6 eV per formula unit

Entry 3:
Here is a relaxed Ac3Nd2Ag3 crystal from Alexandria via LeMat-Bulk. Energies are from PBE-GGA.

Geometry as POSCAR:
```
Ac3Nd2Ag3
1.0
0.3283 3.2853 -2.1209
4.2528 -2.3279 -2.9478
-9.9135 -4.6766 -5.1482
Ac Nd Ag
3 2 3
direct
0.3790 0.3790 0.7581 Ac
0.6210 0.6210 0.2419 Ac
0.5000 0.0000 0.0000 Ac
0.2683 0.7683 0.5365 Nd
0.7317 0.2317 0.4635 Nd
0.8770 0.8770 0.7539 Ag
0.0000 0.5000 0.0000 Ag
0.1230 0.1230 0.2461 Ag
```

- Total magnetization: 0.00 μB/f.u.
- Fermi-level density of states: 8.39 states/eV/f.u.
- Energy of formation: -0.18 eV per atom
- Calculated volume: 32.31 Å³ per atom
- E_tot: -31.9 eV per formula unit

Entry 4:
Here is a relaxed AcNd3Ag2 crystal from Alexandria via LeMat-Bulk. Energies are from PBE-GGA.

Geometry as POSCAR:
```
AcNd3Ag2
1.0
5.4646 -0.0001 0.0000
-2.7325 9.1587 -0.6009
0.0002 -4.6811 7.7853
Ac Nd Ag
2 6 4
direct
0.8691 0.7379 0.9313 Ac
0.1309 0.2621 0.0687 Ac
0.3023 0.6043 0.6044 Nd
0.9366 0.8734 0.5934 Nd
0.6200 0.2397 0.7190 Nd
0.3800 0.7603 0.2810 Nd
0.0634 0.1266 0.4066 Nd
0.6977 0.3957 0.3956 Nd
0.5005 0.0011 0.8467 Ag
0.4995 0.9989 0.1533 Ag
0.7730 0.5469 0.1551 Ag
0.2270 0.4531 0.8449 Ag
```

- Polymorph energy (0 for the lowest one): 32 meV per atom
- Total magnetization: 0.00 μB/f.u.
- Fermi-level density of states: 6.24 states/eV/f.u.
- Energy of formation: -0.12 eV per atom
- Calculated volume: 31.19 Å³ per atom
- E_tot: -24.8 eV per formula unit

Entry 5:
Here is a relaxed Ac4Nd3Ag crystal from Alexandria via LeMat-Bulk. Energies are from PBE-GGA.

Geometry as POSCAR:
```
Ac4Nd3Ag
1.0
-2.5523 1.2656 2.6686
0.8775 -3.0428 2.2823
14.4067 10.6878 8.7104
Ac Nd Ag
4 3 1
direct
0.0000 0.0000 0.8984 Ac
0.0000 0.0000 0.1016 Ac
0.0000 0.0000 0.3678 Ac
0.0000 0.0000 0.6322 Ac
0.5000 0.5000 0.2378 Nd
0.5000 0.5000 0.5000 Nd
0.5000 0.5000 0.7622 Nd
0.5000 0.5000 0.0000 Ag
```

- Total magnetization: 0.00 μB/f.u.
- Fermi-level density of states: 12.29 states/eV/f.u.
- Energy of formation: -0.04 eV per atom
- Calculated volume: 37.98 Å³ per atom
- E_tot: -33.9 eV per formula unit

Entry 6:
Here is a relaxed AcNdAg crystal from Alexandria via LeMat-Bulk. Energies are from PBE-GGA.

Geometry as POSCAR:
```
AcNdAg
1.0
4.9434 -0.2383 -0.0243
0.2383 4.9439 -0.0248
0.0407 0.0380 8.1469
Ac Nd Ag
2 2 2
direct
0.8135 0.8665 0.5495 Ac
0.3136 0.3665 0.2898 Ac
0.8135 0.3665 0.9195 Nd
0.3136 0.8664 0.9197 Nd
0.8138 0.8665 0.1648 Ag
0.3135 0.3663 0.6744 Ag
```

- Polymorph energy (0 for the lowest one): 7 meV per atom
- Total magnetization: 0.00 μB/f.u.
- Fermi-level density of states: 4.09 states/eV/f.u.
- Energy of formation: -0.13 eV per atom
- Calculated volume: 33.26 Å³ per atom
- E_tot: -12.1 eV per formula unit

Entry 7:
Here is a relaxed Ac2NdAg crystal from Alexandria via LeMat-Bulk. Energies are from PBE-GGA.

Geometry as POSCAR:
```
Ac2NdAg
1.0
5.8321 0.0000 0.0000
2.9161 5.0508 0.0000
2.9161 1.6836 4.7619
Ac Nd Ag
2 1 1
direct
0.2500 0.2500 0.2500 Ac
0.7500 0.7500 0.7500 Ac
0.5000 0.5000 0.5000 Nd
0.0000 0.0000 0.0000 Ag
```

- Polymorph energy (0 for the lowest one): 198 meV per atom
- Total magnetization: 0.00 μB/f.u.
- Fermi-level density of states: 6.04 states/eV/f.u.
- Energy of formation: 0.10 eV per atom
- Calculated volume: 35.07 Å³ per atom
- E_tot: -15.5 eV per formula unit

Entry 8:
Here is a relaxed Ac2NdAg crystal from Alexandria via LeMat-Bulk. Energies are from PBE-GGA.

Geometry as POSCAR:
```
Ac2NdAg
1.0
-0.0729 -1.2467 3.7690
-2.2431 -3.1140 1.0180
7.5924 -8.1498 -0.4575
Ac Nd Ag
2 1 1
direct
0.0733 0.0733 0.7802 Ac
0.2601 0.2601 0.2197 Ac
0.4993 0.4993 0.5021 Nd
0.6673 0.6673 0.9980 Ag
```

- Polymorph energy (0 for the lowest one): 110 meV per atom
- Total magnetization: 0.00 μB/f.u.
- Fermi-level density of states: 4.51 states/eV/f.u.
- Energy of formation: 0.01 eV per atom
- Calculated volume: 37.24 Å³ per atom
- E_tot: -15.8 eV per formula unit

Entry 9:
Here is a relaxed AcNd2Ag2Pb2 crystal from Alexandria via LeMat-Bulk. Energies are from PBE-GGA.

Geometry as POSCAR:
```
AcNd2Ag2Pb2
1.0
-3.4647 3.0662 2.0463
-3.7504 1.8400 -2.8535
-7.6478 -5.7215 1.8779
Ac Nd Ag Pb
1 2 2 2
direct
0.0000 0.0000 0.0000 Ac
0.1365 0.1365 0.5906 Nd
0.8635 0.8635 0.4094 Nd
0.5581 0.5581 0.3256 Ag
0.4419 0.4419 0.6744 Ag
0.7374 0.7374 0.7878 Pb
0.2626 0.2626 0.2122 Pb
```

- Total magnetization: 0.00 μB/f.u.
- Fermi-level density of states: 3.22 states/eV/f.u.
- Energy of formation: -0.33 eV per atom
- Calculated volume: 29.40 Å³ per atom
- E_tot: -29.1 eV per formula unit

Entry 10:
Here is a relaxed AcPmNdAg crystal from Alexandria via LeMat-Bulk. Energies are from PBE-GGA.

Geometry as POSCAR:
```
AcPmNdAg
1.0
3.8107 0.0000 0.0000
0.0000 3.8107 0.0000
0.0000 0.0000 8.9352
Ac Pm Nd Ag
1 1 1 1
direct
0.0000 0.0000 0.0695 Ac
0.5000 0.5000 0.7738 Pm
0.5000 0.5000 0.3674 Nd
0.0000 0.0000 0.5740 Ag
```

- Polymorph energy (0 for the lowest one): 0 meV per atom
- Total magnetization: 0.00 μB/f.u.
- Fermi-level density of states: 5.68 states/eV/f.u.
- Energy of formation: -0.10 eV per atom
- Calculated volume: 32.44 Å³ per atom
- E_tot: -16.9 eV per formula unit

Entry 11:
Here is a relaxed AcPmNdAg crystal from Alexandria via LeMat-Bulk. Energies are from PBE-GGA.

Geometry as POSCAR:
```
AcPmNdAg
1.0
5.6651 0.0000 0.0000
2.8325 4.9061 0.0000
2.8325 1.6354 4.6255
Ac Nd Ag Pm
1 1 1 1
direct
0.7500 0.7500 0.7500 Ac
0.5000 0.5000 0.5000 Nd
0.2500 0.2500 0.2500 Ag
0.0000 0.0000 0.0000 Pm
```

- Polymorph energy (0 for the lowest one): 252 meV per atom
- Total magnetization: 0.00 μB/f.u.
- Fermi-level density of states: 6.16 states/eV/f.u.
- Energy of formation: 0.15 eV per atom
- Calculated volume: 32.14 Å³ per atom
- E_tot: -15.9 eV per formula unit

Entry 12:
Here is a relaxed AcNdAgRu crystal from Alexandria via LeMat-Bulk. Energies are from PBE-GGA.

Geometry as POSCAR:
```
AcNdAgRu
1.0
-3.5787 0.9724 3.7194
-3.0322 -3.8890 1.8077
0.7084 -1.8354 4.8699
Ru Ac Nd Ag
1 1 1 1
direct
0.2500 0.2500 0.2500 Ru
0.5000 0.5000 0.5000 Ac
0.0000 0.0000 0.0000 Nd
0.7500 0.7500 0.7500 Ag
```

- Total magnetization: 0.00 μB/f.u.
- Fermi-level density of states: 2.44 states/eV/f.u.
- Energy of formation: -0.13 eV per atom
- Calculated volume: 25.61 Å³ per atom
- E_tot: -21.5 eV per formula unit

Entry 13:
Here is a relaxed AcNdAg2S4 crystal from Alexandria via LeMat-Bulk. Energies are from PBE-GGA.

Geometry as POSCAR:
```
AcNdAg2S4
1.0
6.8992 0.0000 0.0000
3.4496 5.4014 0.1752
3.4496 0.6173 5.3689
Ac Nd Ag S
1 1 2 4
direct
0.0000 0.0000 0.0000 Ac
0.5000 0.5000 0.5000 Nd
0.1755 0.3245 0.3245 Ag
0.8245 0.6755 0.6755 Ag
0.4505 0.0827 0.5511 S
0.0843 0.9173 0.4489 S
0.9157 0.5511 0.0827 S
0.5495 0.4489 0.9173 S
```

- Total magnetization: 0.00 μB/f.u.
- Fermi-level density of states: 0.26 states/eV/f.u.
- Uncorrected formation energy: -1.224 eV/atom
- Calculated volume: 24.92 Å³ per atom
- E_tot: -40.9 eV per formula unit